# 1
Below is TeMo2Br after structural relaxation, with properties calculated at the PBE-GGA level.

D(E_F) ... 1.24 states/eV/atom
Relative energy among the computed polymorphs ... 0.5057 eV/atom
Symmetry ... P4/mmm, No. 123
Uncorrected energy ... -23.8 eV per cell
Magnetic moment ... 0.00 μB per formula unit
Formation energy from raw total energies ... 0.68 eV per atom
Mass density ... 9.16 g/cm³

Unit cell a=3.3008 b=3.3008 c=6.6485 alpha=90.00 beta=90.00 gamma=90.00
Closest atoms and distances in Å follow each position.
Positions (direct):
Te 0.0000 0.0000 0.0000  8 Mo 2.81
Mo 0.5000 0.5000 0.2356  4 Te 2.81, 4 Br 2.92, 1 Mo 3.13
Mo 0.5000 0.5000 0.7644  4 Te 2.81, 4 Br 2.92, 1 Mo 3.13
Br 0.0000 0.0000 0.5000  8 Mo 2.92

---

# 2
Below is KBa4Li after structural relaxation, with properties calculated at the PBE-GGA level.

D(E_F) ... 2.03 states/eV/atom
Symmetry ... F-43m, No. 216
Uncorrected energy ... -8.9 eV per cell
ΔE_f ... 0.3055 eV per atom
Magnetic moment ... 0.00 μB per formula unit
Mass density ... 2.48 g/cm³

Unit cell a=8.2573 b=8.2573 c=8.2573 alpha=60.00 beta=60.00 gamma=60.00
Closest atoms and distances in Å follow each position.
Positions (direct):
K 0.0000 0.0000 0.0000  12 Ba 4.84, 4 Li 5.06
Ba 0.3754 0.3754 0.3754  6 Ba 4.12-4.14
Ba 0.3754 0.3754 0.8738  6 Ba 4.12-4.14
Ba 0.3754 0.8738 0.3754  6 Ba 4.12-4.14
Ba 0.8738 0.3754 0.3754  6 Ba 4.12-4.14
Li 0.7500 0.7500 0.7500  12 Ba 4.84, 4 K 5.06

---

# 3
Below is As2OsBr after structural relaxation, with properties calculated at the PBE-GGA level.

D(E_F) ... 0.37 states/eV/atom
Relative energy among the computed polymorphs ... 0.1195 eV/atom
Symmetry ... Cmmm, No. 65
Uncorrected energy ... -21.4 eV per cell
Magnetic moment ... 0.00 μB per formula unit
Formation energy from raw total energies ... 0.19 eV per atom
Mass density ... 8.82 g/cm³

Unit cell a=5.5647 b=5.5647 c=3.1227 alpha=90.00 beta=90.00 gamma=125.15
Closest atoms and distances in Å follow each position.
Positions (direct):
As 0.1978 0.8022 0.0000  2 Os 2.50, 2 As 2.76
As 0.8022 0.1978 0.0000  2 Os 2.50, 2 As 2.76
Os 0.0000 0.0000 0.5000  4 As 2.50, 2 Br 2.56
Br 0.5000 0.5000 0.5000  2 Os 2.56

---

# 4
Below is CaRu3O after structural relaxation, with properties calculated at the PBE-GGA level.

D(E_F) ... 1.06 states/eV/atom
Relative energy among the computed polymorphs ... 2.6129 eV/atom
Symmetry ... Pm-3m, No. 221
Uncorrected energy ... -20.8 eV per cell
Magnetic moment ... 7.45 μB per formula unit
Formation energy from raw total energies ... 2.79 eV per atom
Mass density ... 5.41 g/cm³

Unit cell a=4.7957 b=4.7957 c=4.7957 alpha=90.00 beta=90.00 gamma=90.00
Closest atoms and distances in Å follow each position.
Positions (direct):
Ca 0.0000 0.0000 0.0000  6 Ru 2.40
Ru 0.0000 0.0000 0.5000  2 Ca 2.40
Ru 0.0000 0.5000 0.0000  2 Ca 2.40
Ru 0.5000 0.0000 0.0000  2 Ca 2.40
O 0.5000 0.5000 0.5000  12 Ru 3.39

---

# 5
Below is KSNCl2 after structural relaxation, with properties calculated at the PBE-GGA level.

D(E_F) ... 1.37 states/eV/atom
Relative energy among the computed polymorphs ... 1.0724 eV/atom
Symmetry ... P4/mmm, No. 123
Uncorrected energy ... -11.7 eV per cell
Magnetic moment ... 6.01 μB per formula unit
Formation energy from raw total energies ... 1.11 eV per atom
Mass density ... 1.06 g/cm³

Unit cell a=6.0545 b=6.0545 c=6.6612 alpha=90.00 beta=90.00 gamma=90.00
Closest atoms and distances in Å follow each position.
Positions (direct):
K 0.0000 0.0000 0.0000  4 Cl 3.03, 2 S 3.33
S 0.0000 0.0000 0.5000  2 K 3.33
N 0.5000 0.5000 0.5000  4 S 4.28, 8 Cl 4.50
Cl 0.0000 0.5000 0.0000  2 K 3.03
Cl 0.5000 0.0000 0.0000  2 K 3.03

---

# 6
Below is NaTl3Hg6 after structural relaxation, with properties calculated at the PBE-GGA level.

D(E_F) ... 0.38 states/eV/atom
Relative energy among the computed polymorphs ... 0.0430 eV/atom
Symmetry ... P2_1/m, No. 11
Uncorrected energy ... -21.1 eV per cell
ΔE_f ... -0.0315 eV per atom
Magnetic moment ... 0.00 μB per formula unit
Mass density ... 10.20 g/cm³

Unit cell a=12.0739 b=4.4600 c=12.5416 alpha=90.00 beta=117.53 gamma=90.00
Closest atoms and distances in Å follow each position.
Positions (direct):
Na 0.2436 0.2500 0.4742  7 Hg 3.24-3.57, 2 Tl 3.42
Na 0.7564 0.7500 0.5258  7 Hg 3.24-3.57, 2 Tl 3.42
Tl 0.1045 0.7500 0.5821  3 Hg 3.06-3.35, 2 Tl 3.28, 2 Na 3.42
Tl 0.1738 0.2500 0.0981  6 Hg 3.21-3.42
Tl 0.4853 0.7500 0.2140  6 Hg 3.09-3.21
Tl 0.5147 0.2500 0.7860  6 Hg 3.09-3.21
Tl 0.8262 0.7500 0.9019  6 Hg 3.21-3.42
Tl 0.8955 0.2500 0.4179  3 Hg 3.06-3.35, 2 Tl 3.28, 2 Na 3.42
Hg 0.0313 0.7500 0.2899  4 Hg 2.99-3.13
Hg 0.1055 0.7500 0.8936  2 Hg 3.08, 3 Tl 3.21-3.42
Hg 0.2477 0.2500 0.7605  2 Hg 2.93-3.13, 3 Tl 3.06-3.09
Hg 0.2881 0.7500 0.3109  2 Hg 2.99-3.12, 3 Tl 3.13-3.25, 2 Na 3.24
Hg 0.4072 0.2500 0.0209  1 Hg 2.93, 2 Tl 3.10
Hg 0.4708 0.7500 0.5861  5 Hg 3.12-3.41, 2 Tl 3.21, 2 Na 3.30
Hg 0.5292 0.2500 0.4139  5 Hg 3.12-3.41, 2 Tl 3.21, 2 Na 3.30
Hg 0.5928 0.7500 0.9791  1 Hg 2.93, 2 Tl 3.10
Hg 0.7119 0.2500 0.6891  2 Hg 2.99-3.12, 3 Tl 3.13-3.25, 2 Na 3.24
Hg 0.7523 0.7500 0.2395  2 Hg 2.93-3.13, 3 Tl 3.06-3.09
Hg 0.8945 0.2500 0.1064  2 Hg 3.08, 3 Tl 3.21-3.42
Hg 0.9687 0.2500 0.7101  4 Hg 2.99-3.13

---

# 7
Below is Tb2Pm3Pr6Mg after structural relaxation, with properties calculated at the PBE-GGA level.

D(E_F) ... 1.18 states/eV/atom
Symmetry ... C2/m, No. 12
Uncorrected energy ... -53.5 eV per cell
ΔE_f ... 0.0221 eV per atom
Magnetic moment ... 0.00 μB per formula unit
Mass density ... 6.60 g/cm³

Unit cell a=6.3291 b=6.3291 c=11.9654 alpha=95.08 beta=95.08 gamma=120.07
Closest atoms and distances in Å follow each position.
Positions (direct):
Tb 0.1669 0.8331 0.0000  6 Pr 3.58-3.60, 3 Tb 3.65-3.66, 3 Mg 3.65
Tb 0.8331 0.1669 0.0000  6 Pr 3.58-3.60, 3 Tb 3.65-3.66, 3 Mg 3.65
Pm 0.0000 0.0000 0.5000  6 Pr 3.65-3.66, 6 Pm 3.65
Pm 0.3331 0.6669 0.5000  6 Pm 3.65-3.66, 6 Pr 3.65-3.67
Pm 0.6669 0.3331 0.5000  6 Pm 3.65-3.66, 6 Pr 3.65-3.67
Pr 0.0875 0.4193 0.7544  1 Mg 3.57, 2 Tb 3.58-3.59, 6 Pr 3.64-3.66, 3 Pm 3.66-3.67
Pr 0.2493 0.2493 0.2472  1 Mg 3.59, 2 Tb 3.60, 6 Pr 3.64-3.66, 3 Pm 3.65
Pr 0.4193 0.0875 0.7544  1 Mg 3.57, 2 Tb 3.58-3.59, 6 Pr 3.64-3.66, 3 Pm 3.66-3.67
Pr 0.5807 0.9125 0.2456  1 Mg 3.57, 2 Tb 3.58-3.59, 6 Pr 3.64-3.66, 3 Pm 3.66-3.67
Pr 0.7507 0.7507 0.7528  1 Mg 3.59, 2 Tb 3.60, 6 Pr 3.64-3.66, 3 Pm 3.65
Pr 0.9125 0.5807 0.2456  1 Mg 3.57, 2 Tb 3.58-3.59, 6 Pr 3.64-3.66, 3 Pm 3.66-3.67
Mg 0.5000 0.5000 0.0000  6 Pr 3.57-3.59, 6 Tb 3.65

---

# 8
Below is Cr2SiHg after structural relaxation, with properties calculated at the PBE-GGA level.

D(E_F) ... 0.70 states/eV/atom
Symmetry ... R-3m, No. 166
Uncorrected energy ... -23.4 eV per cell
Magnetic moment ... 6.02 μB per formula unit
Formation energy from raw total energies ... 0.40 eV per atom
Mass density ... 8.54 g/cm³

Unit cell a=8.4759 b=8.4759 c=8.4759 alpha=20.39 beta=20.39 gamma=20.39
Closest atoms and distances in Å follow each position.
Positions (direct):
Cr 0.2388 0.2388 0.2388  3 Si 2.50
Cr 0.7612 0.7612 0.7612  3 Si 2.50
Si 0.5000 0.5000 0.5000  6 Cr 2.50
Hg 0.0000 0.0000 0.0000  6 Cr 2.92, 6 Hg 3.00

---

# 9
Below is ReNiSn2 after structural relaxation, with properties calculated at the PBE-GGA level.

D(E_F) ... 0.40 states/eV/atom
Relative energy among the computed polymorphs ... 0.3569 eV/atom
Symmetry ... I-42d, No. 122
Uncorrected energy ... -46.3 eV per cell
ΔE_f ... 0.7658 eV per atom
Magnetic moment ... 0.99 μB per formula unit
Mass density ... 10.57 g/cm³

Unit cell a=5.8610 b=5.8610 c=5.8610 alpha=104.84 beta=104.84 gamma=119.20
Closest atoms and distances in Å follow each position.
Positions (direct):
Re 0.0000 0.0000 0.0000  4 Sn 2.76, 2 Ni 2.97
Re 0.7500 0.2500 0.5000  4 Sn 2.76, 2 Ni 2.97
Ni 0.2500 0.7500 0.5000  4 Sn 2.51
Ni 0.5000 0.5000 0.0000  4 Sn 2.51
Sn 0.1503 0.1250 0.5253  2 Ni 2.51, 2 Re 2.76
Sn 0.3750 0.8497 0.9747  2 Ni 2.51, 2 Re 2.76
Sn 0.5997 0.6250 0.4747  2 Ni 2.51, 2 Re 2.76
Sn 0.8750 0.4003 0.0253  2 Ni 2.51, 2 Re 2.76

---

# 10
Below is Sr2PO5 after structural relaxation, with properties calculated at the PBE-GGA level.

Symmetry ... I4mm, No. 107
Uncorrected energy ... -52.8 eV per cell
Magnetic moment ... 0.99 μB per formula unit
Formation energy from raw total energies ... -2.41 eV per atom
Mass density ... 4.02 g/cm³

Unit cell a=5.4655 b=5.4655 c=5.4655 alpha=118.26 beta=118.26 gamma=93.03
Closest atoms and distances in Å follow each position.
Positions (direct):
Sr 0.0000 0.5000 0.5000  10 O 2.61-2.92
Sr 0.5000 0.0000 0.5000  10 O 2.61-2.92
P 0.2247 0.2247 0.0000  5 O 1.56-1.66
O 0.0177 0.0177 0.0000  1 P 1.56
O 0.0772 0.0772 0.5939  1 P 1.66
O 0.0772 0.4833 0.0000  1 P 1.66
O 0.4833 0.0772 0.0000  1 P 1.66
O 0.4833 0.4833 0.4061  1 P 1.66

---

# 11
Below is AlCdPb2 after structural relaxation, with properties calculated at the PBE-GGA level.

D(E_F) ... 0.51 states/eV/atom
Symmetry ... I-4m2, No. 119
Uncorrected energy ... -11.3 eV per cell
ΔE_f ... 0.1848 eV per atom
Magnetic moment ... 0.00 μB per formula unit
Mass density ... 8.61 g/cm³

Unit cell a=6.1021 b=6.1021 c=6.1021 alpha=136.36 beta=136.36 gamma=63.43
Closest atoms and distances in Å follow each position.
Positions (direct):
Al 0.0000 0.0000 0.0000  8 Pb 3.21-3.45, 4 Cd 3.45
Cd 0.2500 0.7500 0.5000  8 Pb 3.21-3.45, 4 Al 3.45
Pb 0.5000 0.5000 0.0000  4 Al 3.21, 4 Cd 3.45, 4 Pb 3.45
Pb 0.7500 0.2500 0.5000  4 Cd 3.21, 4 Pb 3.45, 4 Al 3.45

---

# 12
Below is CuGeSeO5 after structural relaxation, with properties calculated at the PBE-GGA level.

D(E_F) ... 0.34 states/eV/atom
Symmetry ... C2/c, No. 15
Uncorrected energy ... -85.9 eV per cell
Magnetic moment ... 0.99 μB per formula unit
Formation energy from raw total energies ... -0.74 eV per atom
Mass density ... 5.07 g/cm³

Unit cell a=5.5218 b=5.5218 c=7.0260 alpha=102.56 beta=102.56 gamma=105.08
Closest atoms and distances in Å follow each position.
Positions (direct):
Cu 0.0376 0.9624 0.7500  3 O 1.92-2.00
Cu 0.9624 0.0376 0.2500  3 O 1.92-2.00
Ge 0.0000 0.5000 0.0000  6 O 1.91-2.02
Ge 0.5000 0.0000 0.5000  6 O 1.91-2.02
Se 0.4778 0.5222 0.7500  2 O 1.74
Se 0.5222 0.4778 0.2500  2 O 1.74
O 0.1331 0.2558 0.1079  1 Ge 1.91, 1 Cu 1.92, 1 Se 2.07
O 0.1907 0.8093 0.2500  1 Cu 2.00, 2 Ge 2.02
O 0.2558 0.1331 0.6079  1 Ge 1.91, 1 Cu 1.92, 1 Se 2.07
O 0.3180 0.6315 0.9230  1 Se 1.74
O 0.3685 0.6820 0.5770  1 Se 1.74
O 0.6315 0.3180 0.4230  1 Se 1.74
O 0.6820 0.3685 0.0770  1 Se 1.74
O 0.7442 0.8669 0.3921  1 Ge 1.91, 1 Cu 1.92, 1 Se 2.07
O 0.8093 0.1907 0.7500  1 Cu 2.00, 2 Ge 2.02
O 0.8669 0.7442 0.8921  1 Ge 1.91, 1 Cu 1.92, 1 Se 2.07

---

Please write out number 8 again, unchanged.
Below is Cr2SiHg after structural relaxation, with properties calculated at the PBE-GGA level.

D(E_F) ... 0.70 states/eV/atom
Symmetry ... R-3m, No. 166
Uncorrected energy ... -23.4 eV per cell
Magnetic moment ... 6.02 μB per formula unit
Formation energy from raw total energies ... 0.40 eV per atom
Mass density ... 8.54 g/cm³

Unit cell a=8.4759 b=8.4759 c=8.4759 alpha=20.39 beta=20.39 gamma=20.39
Closest atoms and distances in Å follow each position.
Positions (direct):
Cr 0.2388 0.2388 0.2388  3 Si 2.50
Cr 0.7612 0.7612 0.7612  3 Si 2.50
Si 0.5000 0.5000 0.5000  6 Cr 2.50
Hg 0.0000 0.0000 0.0000  6 Cr 2.92, 6 Hg 3.00